(1)
Here is crystalline NaScGe at its relaxed geometry from the Alexandria database. Energies are from PBE.

Computed properties:
Raw total energy   -4.42 eV/atom
Total moment   0.00 μB per formula unit

The structure in POSCAR format:
```
NaScGe
1.0
3.406 0.000 0.000
0.000 4.150 0.000
-0.061 0.000 11.329
Na Sc Ge
2 2 2
Direct
0.246 0.250 0.131
0.754 0.750 0.869
0.252 0.750 0.595
0.748 0.250 0.405
0.246 0.750 0.343
0.754 0.250 0.657
```

=====

(2)
Here is crystalline NaScGe at its relaxed geometry from the Alexandria database. Energies are from PBE.

Computed properties:
Raw total energy   -4.36 eV/atom
Total moment   0.00 μB per formula unit

The structure in POSCAR format:
```
NaScGe
1.0
3.340 0.000 0.000
0.000 4.263 0.000
-0.257 0.000 9.180
Na Sc Ge
2 2 2
Direct
0.241 0.000 0.417
0.759 0.500 0.583
0.258 0.001 0.097
0.742 0.501 0.903
0.241 0.001 0.787
0.759 0.501 0.213
```